1.
First-principles (PBE) data for Tb7PmDy3 after structural relaxation, as listed in Alexandria via LeMat-Bulk.

Computed properties:
Magnetic moment ... 0.2 μB/cell
Crystal system ... orthorhombic
Polymorph energy (0 for the lowest one) ... 60.6 meV/atom
Calculated density ... 8.0 Mg/m³
Density of states at the Fermi level ... 1.6135 states/eV per atom

a b c (Å): 5.8147 11.1664 11.2172
angles (deg): 90.00 90.00 90.00
With the nearest neighbours (Å) after each atom.
Space group Immm (No. 71)
Unique sites:
Tb 0.0000 0.0000 0.0000 [2 per cell]  2 Pm 2.91
Tb 0.0000 0.2069 0.5000 [4 per cell]  2 Dy 3.26, 1 Pm 3.27, 2 Tb 3.53
Tb 0.0000 0.2959 0.1978 [8 per cell]  2 Dy 3.18-3.48, 3 Tb 3.30-3.53
Pm 0.0000 0.5000 0.5000 [2 per cell]  2 Tb 2.91
Dy 0.0000 0.0000 0.2945 [4 per cell]  5 Tb 3.26-3.48
Dy 0.0000 0.5000 0.0000 [2 per cell]  4 Tb 3.18

***

2.
First-principles (PBE) data for Tl6SnSb after structural relaxation, as listed in Alexandria via LeMat-Bulk.

Computed properties:
E ... -2.77 eV per atom
Magnetic moment ... 0.0 μB/cell
Crystal system ... tetragonal
Calculated density ... 10.0 Mg/m³
Density of states at the Fermi level ... 0.4330 states/eV per atom

a b c (Å): 4.9238 4.9238 10.0031
angles (deg): 90.00 90.00 90.00
With the nearest neighbours (Å) after each atom.
Space group P4/mmm (No. 123)
Unique sites:
Tl 0.0000 0.0000 0.0000 [1 per cell]  4 Sb 3.48, 8 Tl 3.48
Tl 0.0000 0.0000 0.5000 [1 per cell]  4 Sn 3.48, 8 Tl 3.54
Tl 0.0000 0.5000 0.2463 [4 per cell]  8 Tl 3.48-3.54, 2 Sb 3.48, 2 Sn 3.54
Sn 0.5000 0.5000 0.5000 [1 per cell]  12 Tl 3.48-3.54
Sb 0.5000 0.5000 0.0000 [1 per cell]  12 Tl 3.48